Entry from Alexandria via LeMat-Bulk: a relaxed HfTiMnCd crystal (PBE).

- total magnetic moment (μB/cell) = 0.0
- density (g/cm3) = 9.42
- E_form (eV per atom) = -0.13

Cell and atoms, written as POSCAR:
```
HfTiMnCd
1.0
3.102 0.000 0.000
0.000 3.102 0.000
0.000 0.000 7.213
Ti Hf Mn Cd
1 1 1 1
Cartesian
1.551 1.551 2.647
1.551 1.551 5.600
0.000 0.000 3.976
0.000 0.000 0.649
```

Entry from Alexandria via LeMat-Bulk: a relaxed Zr2BeZn crystal (PBE).

- total magnetic moment (μB/cell) = 0.0
- density (g/cm3) = 6.14
- E_form (eV per atom) = -0.10
- energy above the most stable polymorph in this dataset (eV per atom) = 0.0781

Cell and atoms, written as POSCAR:
```
Zr2BeZn
1.0
5.500 0.015 0.009
4.555 3.083 0.009
1.887 0.581 4.118
Be Zr Zn
1 2 1
Cartesian
6.201 1.910 1.952
9.103 2.804 3.029
10.003 3.081 0.044
2.663 0.820 1.196
```